No. 1
Entry from the Alexandria database: a relaxed structure of Pr2BeZnPd6 (PBE-GGA).

Cell lengths 5.885, 7.182, 7.195 Å; angles 48.26, 65.86, 90.00 degrees
Positions (direct):
Pd (0.217, 0.260, 0.046)
Pd (0.738, 0.779, 0.525)
Pd (0.737, 0.260, 0.046)
Pd (0.263, 0.740, 0.954)
Pd (0.783, 0.740, 0.954)
Be (0.500, 0.500, 0.000)
Pd (0.262, 0.221, 0.475)
Zn (0.000, 0.000, 0.000)
Pr (0.729, 0.273, 0.542)
Pr (0.271, 0.727, 0.458)

## Properties
- Formation energy from the elements: -60 kJ per mole of atoms

No. 2
Entry from the Alexandria database: a relaxed structure of Ca5ReN4Cl2 (PBE-GGA).

Cell lengths 6.198, 5.492, 7.808 Å; angles 90.00, 90.00, 124.35 degrees
Each line ends with the local moment (μB).
Positions (direct):
Ca (0.083, 0.384, 0.191)  0.02
Re (0.426, 0.000, 0.000)  0.16
N (0.592, 0.000, 0.203)  0.01
Ca (0.083, 0.384, 0.809)  0.02
Ca (0.699, 0.616, 0.191)  0.02
N (0.592, 0.000, 0.797)  0.01
N (0.334, 0.295, 0.000)  0.00
Ca (0.521, 0.000, 0.500)  0.06
Cl (0.973, 0.609, 0.500)  0.00
Cl (0.363, 0.391, 0.500)  0.00
Ca (0.699, 0.616, 0.809)  0.02
N (0.039, 0.705, 0.000)  0.00

## Properties
- Formation energy without anion corrections: -1.010 eV/atom

No. 3
Entry from the Alexandria database: a relaxed structure of Y2ZnSb2 (PBE-GGA).

Cell lengths 7.990, 7.990, 4.135 Å; angles 90.00, 90.00, 90.00 degrees
Positions (direct):
Zn (0.500, 0.500, 0.000)
Sb (0.652, 0.152, 0.000)
Sb (0.848, 0.652, 0.000)
Y (0.344, 0.156, 0.500)
Sb (0.152, 0.348, 0.000)
Y (0.844, 0.344, 0.500)
Y (0.156, 0.656, 0.500)
Sb (0.348, 0.848, 0.000)
Y (0.656, 0.844, 0.500)
Zn (0.000, 0.000, 0.000)

## Properties
- Formation energy without anion corrections: -0.676 eV/atom

No. 4
Entry from the Alexandria database: a relaxed structure of CeCoRu2 (PBE-GGA).

Cell lengths 4.433, 4.433, 5.216 Å; angles 64.85, 64.85, 60.00 degrees
Each line ends with the local moment (μB).
Positions (direct):
Co (0.500, 0.500, 0.500)  1.54
Ce (0.000, 0.000, 0.000)  -0.12
Ru (0.184, 0.184, 0.449)  0.23
Ru (0.816, 0.816, 0.551)  0.23

## Properties
- Formation energy from the elements: 0 kJ per mole of atoms

No. 5
Entry from the Alexandria database: a relaxed structure of Tl3ZnBr6 (PBE-GGA).

Cell lengths 7.320, 10.083, 10.083 Å; angles 100.14, 90.00, 90.00 degrees
Positions (direct):
Br (0.704, 0.868, 0.423)
Br (0.161, 0.387, 0.299)
Tl (0.483, 0.281, 0.076)
Zn (0.548, 0.796, 0.204)
Br (0.155, 0.055, 0.945)
Br (0.661, 0.613, 0.701)
Br (0.222, 0.784, 0.216)
Br (0.204, 0.132, 0.577)
Tl (0.983, 0.719, 0.924)
Tl (0.983, 0.076, 0.281)
Br (0.704, 0.577, 0.132)
Tl (0.864, 0.575, 0.425)
Br (0.661, 0.299, 0.387)
Zn (0.048, 0.204, 0.796)
Br (0.722, 0.216, 0.784)
Br (0.161, 0.701, 0.613)
Tl (0.364, 0.425, 0.575)
Br (0.655, 0.945, 0.055)
Tl (0.483, 0.924, 0.719)
Br (0.204, 0.423, 0.868)

## Properties
- Formation energy without anion corrections: -0.756 eV/atom

No. 6
Entry from the Alexandria database: a relaxed structure of Cs2KHg2H6 (PBE-GGA).

Cell lengths 6.313, 6.642, 7.983 Å; angles 116.57, 90.00, 118.38 degrees
Positions (direct):
H (0.713, 0.911, 0.206)
H (0.217, 0.435, 0.355)
H (0.802, 0.089, 0.794)
Cs (0.702, 0.404, 0.180)
H (0.783, 0.565, 0.645)
K (0.500, 0.000, 0.500)
Cs (0.298, 0.596, 0.820)
Hg (0.040, 0.080, 0.219)
H (0.287, 0.089, 0.794)
Hg (0.960, 0.920, 0.781)
H (0.198, 0.911, 0.206)

## Properties
- DFT total energy: -24.1 eV/cell

No. 7
Entry from the Alexandria database: a relaxed structure of Ba2CaMg12Ga3 (PBE-GGA).

Cell lengths 9.184, 9.184, 9.184 Å; angles 62.17, 62.17, 62.17 degrees
Positions (direct):
Mg (0.115, 0.738, 0.738)
Mg (0.476, 0.837, 0.837)
Ba (0.416, 0.416, 0.416)
Mg (0.837, 0.476, 0.837)
Mg (0.163, 0.524, 0.163)
Ga (0.000, 0.500, 0.000)
Ga (0.000, 0.000, 0.500)
Mg (0.163, 0.163, 0.524)
Mg (0.738, 0.738, 0.115)
Ca (0.000, 0.000, 0.000)
Mg (0.262, 0.885, 0.262)
Mg (0.885, 0.262, 0.262)
Mg (0.738, 0.115, 0.738)
Mg (0.524, 0.163, 0.163)
Ba (0.584, 0.584, 0.584)
Mg (0.262, 0.262, 0.885)
Ga (0.500, 0.000, 0.000)
Mg (0.837, 0.837, 0.476)

## Properties
- Formation energy from the elements: 17 kJ per mole of atoms